<w>
Here is CrCoW2 after structural relaxation from Alexandria. Energies are from GGA-PBEsol.

Results
The value obtained for the calculated density is 14.8 g cm⁻³.

extended XYZ file:
```
4
Lattice="-2.566 -1.292 1.055 1.529 -2.596 0.538 1.248 1.828 5.273" Properties=species:S:1:pos:R:3 pbc="T T T"
Cr 0.409 -0.585 4.716
W 1.226 1.797 5.184
W -0.181 -1.449 2.225
Co 0.627 0.919 2.651
```

=====

<x>
Here is CrCoW2 after structural relaxation from Alexandria. Energies are from GGA-PBEsol.

Results
The value obtained for the calculated density is 14.9 g cm⁻³.

extended XYZ file:
```
4
Lattice="-1.357 0.899 2.610 -3.613 0.471 -2.040 1.495 -4.632 0.559" Properties=species:S:1:pos:R:3 pbc="T T T"
W -3.460 -3.201 1.115
W -1.169 -1.506 1.723
Co -2.493 0.652 0.292
Cr -2.314 -1.786 -0.588
```

=====

Most stable structure - <w>; separation to the second - 0.8 kJ/mol of atoms.

=====

<w>
Here is CsCo3Re after structural relaxation from Alexandria. Energies are from GGA-PBEsol.

Results
The value obtained for the calculated density is 8.6 g cm⁻³.

extended XYZ file:
```
5
Lattice="-1.102 3.935 -2.069 -2.206 -2.335 -3.266 -3.860 0.211 2.457" Properties=species:S:1:pos:R:3 pbc="T T T"
Co -0.551 1.968 -1.035
Co -1.930 0.105 1.229
Co -1.103 -1.168 -1.633
Cs -3.584 0.905 -1.439
Re 0.000 0.000 0.000
```

=====

<x>
Here is CsCo3Re after structural relaxation from Alexandria. Energies are from GGA-PBEsol.

Results
The value obtained for the calculated density is 9.2 g cm⁻³.

extended XYZ file:
```
5
Lattice="4.481 0.000 0.000 0.000 4.481 0.000 0.000 0.000 4.481" Properties=species:S:1:pos:R:3 pbc="T T T"
Co 0.000 2.240 0.000
Co 2.240 0.000 0.000
Co 0.000 0.000 2.240
Cs 0.000 0.000 0.000
Re 2.240 2.240 2.240
```

=====

Most stable structure - <w>; separation to the second - 149.4 kJ/mol of atoms.